# 1
The following is a PBE calculation of crystalline HfCd2Cl at its relaxed geometry, from the Alexandria database.

Computed properties:
As for the raw formation energy: 0.426 eV/atom. The value obtained for the offset from the most stable computed form is 0.305 eV per atom.

Cell lengths 7.2514, 7.2514, 7.2514 Å; angles 90.00, 90.00, 90.00 degrees
Closest atoms and distances in Å follow each position.
Space group Fm-3m (No. 225)
Asymmetric unit:
Hf 0.0000 0.0000 0.0000 x4  8 Cd 3.14
Cd 0.2500 0.2500 0.2500 x8  4 Cl 3.14, 4 Hf 3.14
Cl 0.0000 0.0000 0.5000 x4  8 Cd 3.14


# 2
The following is a PBE calculation of crystalline Hf3CdCl at its relaxed geometry, from the Alexandria database.

Computed properties:
As for the raw formation energy: 0.189 eV/atom. The value obtained for the offset from the most stable computed form is 0.000 eV per atom.

Cell lengths 4.7502, 4.7502, 4.7502 Å; angles 90.00, 90.00, 90.00 degrees
Closest atoms and distances in Å follow each position.
Space group Pm-3m (No. 221)
Asymmetric unit:
Hf 0.0000 0.0000 0.5000 x3  2 Cl 2.38
Cd 0.5000 0.5000 0.5000 x1  12 Hf 3.36
Cl 0.0000 0.0000 0.0000 x1  6 Hf 2.38


# 3
The following is a PBE calculation of crystalline HfCd3Cl at its relaxed geometry, from the Alexandria database.

Computed properties:
As for the raw formation energy: 0.662 eV/atom. The value obtained for the offset from the most stable computed form is 0.000 eV per atom.

Cell lengths 5.7433, 5.7433, 5.7433 Å; angles 90.00, 90.00, 90.00 degrees
Closest atoms and distances in Å follow each position.
Space group Pm-3m (No. 221)
Asymmetric unit:
Hf 0.0000 0.0000 0.0000 x1  6 Cd 2.87
Cd 0.0000 0.0000 0.5000 x3  2 Hf 2.87
Cl 0.5000 0.5000 0.5000 x1  12 Cd 4.06